DyTlSiS4, optimized geometry, DFT PBE; formation energy (no corrections) = -1.17 eV/atom; V = 25.24 A^3/atom; SG = No. 11
1.0
6.414 0.000 0.000
0.000 6.576 0.000
-2.601 0.000 8.380
Dy Tl Si S
2 2 2 8
Cartesian
1.334 1.644 0.433
2.478 4.932 7.947
0.192 1.644 4.766
3.620 4.932 3.614
-0.716 4.932 6.946
4.529 1.644 1.434
-2.041 0.010 6.640
-2.041 3.278 6.640
2.517 4.932 0.598
0.945 4.932 5.645
2.868 1.644 2.735
1.296 1.644 7.782
5.853 3.298 1.739
5.853 6.566 1.739

=====

PmHf2Ta, optimized geometry, DFT PBE; V = 24.02 A^3/atom; E_form = 347 meV/atom; E above lowest polymorph = 0.64 eV per formula unit; SG = No. 166
1.0
1.580 0.912 11.110
-1.580 0.912 11.110
0.000 -1.825 11.110
Pm Hf Ta
1 2 1
Cartesian
0.000 0.000 0.000
0.000 0.000 3.198
0.000 0.000 30.132
0.000 0.000 16.665

=====

Sb2Te2W, optimized geometry, DFT PBE; formation energy (no corrections) = 0.84 eV/atom; V = 30.74 A^3/atom; E above lowest polymorph = 0.28 eV per formula unit; SG = No. 139
1.0
-1.954 1.954 10.063
1.954 -1.954 10.063
1.954 1.954 -10.063
Sb Te W
2 2 1
Cartesian
0.000 0.000 1.426
0.000 0.000 18.700
1.954 0.000 5.031
0.000 1.954 5.031
0.000 0.000 10.063

=====

ZrTa2Cd, optimized geometry, DFT PBE; V = 19.80 A^3/atom; E_form = 227 meV/atom; SG = No. 119
1.0
-2.155 2.155 4.263
2.155 -2.155 4.263
2.155 2.155 -4.263
Zr Ta Cd
1 2 1
Cartesian
0.000 0.000 0.000
2.155 0.000 2.132
0.000 0.000 4.263
0.000 2.155 2.132

=====

Sc2NiAgB, optimized geometry, DFT PBE; V = 22.98 A^3/atom; E_form = 1323 meV/atom; SG = No. 123
1.0
5.035 0.000 0.000
0.000 5.035 0.000
0.000 0.000 4.531
Sc Ni Ag B
2 1 1 1
Cartesian
0.000 2.518 0.000
2.518 0.000 0.000
0.000 0.000 2.266
0.000 0.000 0.000
2.518 2.518 2.266

=====

CrAu2C, optimized geometry, DFT PBE; V = 17.88 A^3/atom; E_form = 640 meV/atom; SG = No. 6
1.0
4.756 0.000 0.000
0.000 3.161 0.000
-0.106 0.000 4.759
Cr Au C
1 2 1
Cartesian
0.000 0.000 0.000
0.318 1.580 2.283
2.271 1.580 0.382
3.983 1.580 4.082

=====

Tl2HgOs, optimized geometry, DFT PBE; V = 25.32 A^3/atom; E_form = 597 meV/atom; E above lowest polymorph = 0.00 eV per formula unit; SG = No. 12
1.0
7.502 -1.497 0.000
7.502 1.497 0.000
-1.498 0.000 4.508
Tl Hg Os
2 1 1
Cartesian
2.379 0.000 0.793
11.128 0.000 3.716
-0.749 0.000 2.254
7.502 0.000 0.000

=====

TeAsP2S, optimized geometry, DFT PBE; formation energy (no corrections) = 1.30 eV/atom; V = 25.41 A^3/atom; E above lowest polymorph = 2.36 eV per formula unit; SG = No. 123
1.0
5.101 0.000 0.000
0.000 5.101 0.000
0.000 0.000 4.883
Te As P S
1 1 2 1
Cartesian
0.000 0.000 0.000
2.551 2.551 2.442
0.000 2.551 0.000
2.551 0.000 0.000
0.000 0.000 2.442